Entry 1:
Tc2TeCl (meta-GGA SCAN, single point on PBEsol structure); offset from the most stable computed form = 0 meV per atom; E_form (uncorrected) = 3.357 eV/f.u.
1.0
-1.738 2.270 -0.880
-0.064 -1.562 -3.905
-4.400 -2.893 1.230
Te Tc Cl
1 2 1
direct
0.500 0.500 0.000 Te
0.000 0.000 0.000 Tc
0.500 0.000 0.500 Tc
0.000 0.500 0.500 Cl

Entry 2:
BaSeO2 (meta-GGA SCAN, single point on PBEsol structure); E_form (uncorrected) = -5.925 eV/f.u.
1.0
-2.758 1.468 2.652
-1.564 -2.445 2.893
3.159 1.318 5.723
O Ba Se
2 1 1
direct
0.899 0.899 0.304 O
0.101 0.101 0.696 O
0.500 0.500 0.500 Ba
0.000 0.000 0.000 Se

Entry 3:
CdHgO2 (meta-GGA SCAN, single point on PBEsol structure); offset from the most stable computed form = 0 meV per atom; E_form (uncorrected) = -3.245 eV/f.u.
1.0
-1.490 -2.792 1.469
1.510 -1.544 2.740
-3.177 2.282 5.256
Hg O Cd
1 2 1
direct
0.000 0.000 0.000 Hg
0.894 0.894 0.319 O
0.106 0.106 0.681 O
0.500 0.500 0.500 Cd

Entry 4:
DyCdNi4 (meta-GGA SCAN, single point on PBEsol structure); energy of formation from the pure elements = -0.34 eV/atom
1.0
-4.320 1.179 1.952
-3.935 -2.737 -0.943
-1.935 -2.788 3.514
Ni Cd Dy
4 1 1
direct
0.122 0.626 0.626 Ni
0.626 0.626 0.122 Ni
0.626 0.122 0.626 Ni
0.626 0.626 0.626 Ni
0.000 0.000 0.000 Cd
0.250 0.250 0.250 Dy

Entry 5:
Li2NbBr (meta-GGA SCAN, single point on PBEsol structure); E_form (uncorrected) = 1.277 eV/f.u.
1.0
5.098 0.000 0.000
2.549 5.190 0.000
2.549 0.000 5.190
Nb Br Li
2 2 4
direct
0.000 0.000 0.000 Nb
0.750 0.500 0.500 Nb
0.500 0.000 0.000 Br
0.250 0.500 0.500 Br
0.576 0.049 0.549 Li
0.174 0.951 0.451 Li
0.375 0.451 0.049 Li
0.875 0.549 0.951 Li

Entry 6:
BiSbPd2 (meta-GGA SCAN, single point on PBEsol structure); E_form (uncorrected) = -1.555 eV/f.u.
1.0
-3.733 -0.368 -1.812
2.860 -2.988 -0.497
-1.952 -2.627 4.556
Sb Bi Pd
1 1 2
direct
0.333 0.667 0.000 Sb
0.000 0.000 0.500 Bi
0.667 0.333 0.244 Pd
0.667 0.333 0.756 Pd